Material: Dy3HoPt2
Method: DFT, PBE-GGA
State: relaxed

Values from the calculation:
Energy of formation from the pure elements ... -0.955 eV per atom
Spin magnetization ... 0.000 μB/atom
VASP energy ... -6.033 eV/atom
DOS at the Fermi energy ... 12.205 states/eV/cell

CIF file:
```
data_Dy3HoPt2
_chemical_formula_sum 'Dy6 Ho2 Pt4'
_space_group_name_H-M_alt 'P m c 21'
_space_group_IT_number 26
_cell_length_a 4.768
_cell_length_b 8.802
_cell_length_c 7.148
_cell_angle_alpha 90.00
_cell_angle_beta 90.00
_cell_angle_gamma 90.00
loop_
_space_group_symop_operation_xyz
'x,y,z'
'-x,-y,z+1/2'
'-x,y,z'
'x,-y,z+1/2'
loop_
_atom_site_label
_atom_site_type_symbol
_atom_site_fract_x
_atom_site_fract_y
_atom_site_fract_z
Dy1 Dy 0.000 0.083 0.000
Dy2 Dy 0.000 0.332 0.365
Dy3 Dy 0.500 0.169 0.653
Ho1 Ho 0.500 0.417 0.018
Pt1 Pt 0.000 0.343 0.768
Pt2 Pt 0.500 0.158 0.250
```